[1]
This record from the Alexandria database describes a geometry-optimized LiDyPt2 structure. The functional is GGA-PBE.

The formation energy from the elements comes out at -3.7 eV/f.u.

It has space group I4/mmm (No. 139), with a = 4.334 Å, b = 4.334 Å, c = 7.557 Å, α = 90.00°, β = 90.00° and γ = 90.00°. The inequivalent atoms are Li at (0.000, 0.000, 0.000), Dy at (0.000, 0.000, 0.500) and Pt at (0.000, 0.500, 0.250).


[2]
This record from the Alexandria database describes a geometry-optimized LiDy3Pt8 structure. The functional is GGA-PBE.

The formation energy from the elements comes out at -12.1 eV/f.u.

It has space group R3m (No. 160, hexagonal axes), with a = 5.4086 Å, b = 5.4086 Å, c = 26.3602 Å, α = 90.00°, β = 90.00° and γ = 120.00°. The inequivalent atoms are Li at (0.0000, 0.0000, 0.0000), Dy at (0.0000, 0.0000, 0.3600), Dy at (0.0000, 0.0000, 0.4884), Dy at (0.0000, 0.0000, 0.8758), Pt at (0.0000, 0.0000, 0.1787), Pt at (0.0000, 0.0000, 0.6784), Pt at (0.0012, 0.5006, 0.4291) and Pt at (0.1681, 0.3362, 0.2617).


| no. | N(E_F) (states/eV/cell) |
| --- | --- |
| 1 | 3.1 |
| 2 | 32.4 |